--- one ---
Below is a relaxed structure of InFeIO2, with properties calculated at the GGA+U level.

POSCAR file:
```
InFeIO2
1.0
-0.694 3.238 -2.638
-3.335 -2.040 -1.626
-4.888 3.521 5.608
O Fe I In
2 1 1 1
Cartesian
-0.347 1.619 -1.319
-1.668 -1.020 -0.813
0.000 0.000 0.000
-2.444 1.761 2.804
-4.459 2.359 0.672
```

Results
- symmetry = P4/mmm, No. 123

***

--- two ---
Below is a relaxed structure of InFeIO2, with properties calculated at the GGA+U level.

POSCAR file:
```
InFeIO2
1.0
4.146 0.000 0.000
0.000 4.146 0.000
0.000 0.000 6.185
Fe In O I
1 1 2 1
Cartesian
2.073 2.073 3.092
0.000 0.000 0.000
2.073 0.000 0.000
0.000 2.073 0.000
0.000 0.000 3.092
```

Results
- symmetry = P4/mmm, No. 123

***

It is two that is most stable; the runner-up trails by 0.087 eV/atom.